VASP calculation (meta-GGA SCAN) on Sc2TcHg at its PBEsol-relaxed geometry.

Geometry as extended XYZ:
```
4
Lattice="-3.066 -0.867 1.633 1.752 -2.369 2.034 0.970 4.194 4.049" Properties=species:S:1:pos:R:3 pbc="T T T"
Sc -0.373 -0.391 3.018
Sc 0.958 4.143 3.999
Hg 0.079 1.562 4.903
Tc 0.448 1.935 1.868
```

Properties
Size of the total moment: 0.00 μB per formula unit
DFT formation energy: -0.1350 eV/atom
Crystal system: tetragonal
Space-group type: No. 99

VASP calculation (meta-GGA SCAN) on Li2CaRu at its PBEsol-relaxed geometry.

Geometry as extended XYZ:
```
4
Lattice="-2.714 -0.580 0.553 1.142 -4.584 -1.841 2.040 1.065 5.201" Properties=species:S:1:pos:R:3 pbc="T T T"
Ca 0.571 -2.292 -0.920
Li 0.234 -2.050 1.957
Li 1.020 0.532 2.600
Ru -1.357 -0.290 0.277
```

Properties
Size of the total moment: 0.00 μB per formula unit
DFT formation energy: 0.3730 eV/atom
Excess energy over the best structure of this formula in the dataset: 0.023 eV per atom
Crystal system: monoclinic
Space-group type: No. 12

VASP calculation (meta-GGA SCAN) on FeCu2Si at its PBEsol-relaxed geometry.

Geometry as extended XYZ:
```
4
Lattice="2.587 0.000 0.000 0.000 3.664 0.000 0.000 0.000 4.892" Properties=species:S:1:pos:R:3 pbc="T T T"
Cu 0.000 0.000 3.679
Cu 0.000 0.000 1.213
Si 1.294 1.832 2.446
Fe 1.294 1.832 0.000
```

Properties
Size of the total moment: 2.72 μB per formula unit
Uncorrected energy: -58.36 eV/cell
Crystal system: orthorhombic
Space-group type: No. 47

VASP calculation (meta-GGA SCAN) on Li2CuPt at its PBEsol-relaxed geometry.

Geometry as extended XYZ:
```
4
Lattice="3.646 0.000 0.000 0.000 3.646 0.000 0.000 0.000 3.777" Properties=species:S:1:pos:R:3 pbc="T T T"
Li 0.000 1.823 0.000
Li 1.823 0.000 0.000
Cu 0.000 0.000 1.889
Pt 1.823 1.823 1.889
```

Properties
Size of the total moment: 0.00 μB per formula unit
DFT formation energy: -0.4060 eV/atom
Excess energy over the best structure of this formula in the dataset: 0.021 eV per atom
Crystal system: tetragonal
Space-group type: No. 123

VASP calculation (meta-GGA SCAN) on HgPtAu2 at its PBEsol-relaxed geometry.

Geometry as extended XYZ:
```
4
Lattice="2.928 0.000 0.014 0.000 4.031 0.000 -0.027 0.000 5.800" Properties=species:S:1:pos:R:3 pbc="T T T"
Au 1.457 2.016 1.409
Au 2.901 0.000 5.811
Pt 1.444 2.016 4.362
Hg -0.013 0.000 2.949
```

Properties
Size of the total moment: 0.00 μB per formula unit
DFT formation energy: 0.0719 eV/atom
Crystal system: orthorhombic
Space-group type: No. 25

VASP calculation (meta-GGA SCAN) on CaCoAg at its PBEsol-relaxed geometry.

Geometry as extended XYZ:
```
3
Lattice="3.075 0.000 0.000 0.000 3.655 0.000 -1.538 -1.828 4.955" Properties=species:S:1:pos:R:3 pbc="T T T"
Ag 1.538 1.828 4.638
Co 0.000 0.000 3.587
Ca 1.538 1.828 1.686
```

Properties
Size of the total moment: 1.77 μB per formula unit
DFT formation energy: 0.2052 eV/atom
Crystal system: orthorhombic
Space-group type: No. 44